Sc3BF | the Alexandria database | meta-GGA SCAN | PBEsol geometry; crystal system = cubic; raw formation energy = -362.4 meV/atom; final energy = -11.099 eV/atom; space-group type = Pm-3m; DOS at the Fermi energy = 6.5 states/eV/cell; magnetic moment = 0.01 μB per formula unit
1.0
4.598 0.000 0.000
0.000 4.598 0.000
0.000 0.000 4.598
Sc B F
3 1 1
Direct
0.000 0.500 0.000
0.000 0.000 0.500
0.500 0.000 0.000
0.000 0.000 0.000
0.500 0.500 0.500